1.
Compound: Ti2SnPd5
Source: Alexandria via LeMat-Bulk
Functional: PBE
Structure: relaxed

Output
**E_form**: -380 kJ/mol of formula units
**Density of states at the Fermi level**: 1.262 states/eV/atom

Cell: 3.963 5.686 11.463 Å, 90.00 90.00 90.00°
Sites, in units of the cell vectors:
Ti: 0.500 0.286 0.360
Ti: 0.500 0.714 0.640
Ti: 0.500 0.214 0.860
Ti: 0.500 0.786 0.140
Sn: 0.000 0.000 0.500
Sn: 0.000 0.500 0.000
Pd: 0.500 0.260 0.124
Pd: 0.500 0.740 0.876
Pd: 0.500 0.760 0.376
Pd: 0.500 0.240 0.624
Pd: 0.000 0.982 0.749
Pd: 0.000 0.018 0.251
Pd: 0.000 0.482 0.751
Pd: 0.000 0.518 0.249
Pd: 0.000 0.500 0.500
Pd: 0.000 0.000 0.000

2.
Compound: LiH3Pd
Source: Alexandria via LeMat-Bulk
Functional: PBE
Structure: relaxed

Output
**Density of states at the Fermi level**: 0.002 states/eV/atom
**DFT total energy**: -3.661 eV/atom

Cell: 16.463 4.742 6.348 Å, 90.00 160.73 90.00°
Sites, in units of the cell vectors:
H: 0.299 0.939 0.009
H: 0.701 0.061 0.991
H: 0.201 0.439 0.491
H: 0.799 0.561 0.509
H: 0.360 0.437 0.255
H: 0.640 0.563 0.745
H: 0.140 0.937 0.245
H: 0.860 0.063 0.755
H: 0.412 0.812 0.657
H: 0.588 0.188 0.343
H: 0.088 0.312 0.843
H: 0.912 0.688 0.157
Pd: 0.553 0.739 0.760
Pd: 0.447 0.261 0.240
Pd: 0.947 0.239 0.740
Pd: 0.053 0.761 0.260
Li: 0.930 0.273 0.194
Li: 0.070 0.727 0.806
Li: 0.570 0.773 0.306
Li: 0.430 0.227 0.694